A plane-wave DFT calculation with GGA-PBE was carried out for a relaxed structure of Pr2Sm3ErSe6.

Computed properties:
Raw formation energy = -1.80 eV/atom
Space-group type = No. 12
Calculated density = 7.34 Mg/m³
Crystal system = monoclinic
Density of states at the Fermi level = 5.9 states/eV/f.u.
Calculated total energy = -5.902 eV per atom

```
Pr2Sm3ErSe6
1.0
9.099 -2.081 0.000
9.099 2.081 0.000
-1.882 0.000 8.203
Pr Sm Er Se
2 3 1 6
direct
0.169 0.169 0.337
0.831 0.831 0.663
0.172 0.172 0.834
0.500 0.500 0.500
0.828 0.828 0.166
0.500 0.500 0.000
0.003 0.003 0.761
0.336 0.336 0.412
0.339 0.339 0.925
0.661 0.661 0.075
0.664 0.664 0.588
0.997 0.997 0.239
```